A relaxed structure of Rb4Pu3SbTe8. Source: Alexandria, functional GGA-PBE.

a = 9.2325 Å, b = 9.2325 Å, c = 25.4081 Å
α = 90.00°, β = 90.00°, γ = 120.00°
Space group R-3m (No. 166, hexagonal axes)
Asymmetric unit:
Rb (0.0000, 0.0000, 0.0000) [3 per cell]
Rb (0.0000, 0.5000, 0.0000) [9 per cell]
Pu (0.0000, 0.5000, 0.5000) [9 per cell]
Sb (0.0000, 0.0000, 0.5000) [3 per cell]
Te (0.0000, 0.0000, 0.2329) [6 per cell]
Te (0.0026, 0.5013, 0.2325) [18 per cell]

Calculated values
- E (hartree per atom) = -0.2097
- density (g cm⁻³) = 5.887
- formation energy (no corrections) (meV/atom) = -949.1
- total magnetization (μB/atom) = 0.9375

=====

A relaxed structure of Rb3PuSc3Se8. Source: Alexandria, functional GGA-PBE.

a = 8.0455 Å, b = 8.0455 Å, c = 24.2346 Å
α = 90.00°, β = 90.00°, γ = 120.00°
Space group R-3m (No. 166, hexagonal axes)
Asymmetric unit:
Rb (0.0000, 0.5000, 0.0000) [9 per cell]
Pu (0.0000, 0.0000, 0.5000) [3 per cell]
Sc (0.0000, 0.5000, 0.5000) [9 per cell]
Se (0.0000, 0.0000, 0.2284) [6 per cell]
Se (0.0105, 0.5052, 0.7708) [18 per cell]

Calculated values
- E (hartree per atom) = -0.2134
- density (g cm⁻³) = 4.646
- formation energy (no corrections) (meV/atom) = -1533.5
- total magnetization (μB/atom) = 0.2666

=====

A relaxed structure of Rb3Pu3ScSe8. Source: Alexandria, functional GGA-PBE.

a = 14.561 Å, b = 8.395 Å, c = 9.432 Å
α = 90.00°, β = 120.85°, γ = 90.00°
Space group C2/m (No. 12)
Asymmetric unit:
Rb (0.000, 0.000, 0.000) [2 per cell]
Rb (0.250, 0.250, 0.000) [4 per cell]
Pu (0.000, 0.500, 0.500) [2 per cell]
Pu (0.250, 0.250, 0.500) [4 per cell]
Sc (0.000, 0.000, 0.500) [2 per cell]
Se (0.018, 0.240, 0.314) [8 per cell]
Se (0.223, 0.000, 0.685) [4 per cell]
Se (0.233, 0.500, 0.696) [4 per cell]

Calculated values
- E (hartree per atom) = -0.2491
- density (g cm⁻³) = 5.587
- formation energy (no corrections) (meV/atom) = -1437.4
- total magnetization (μB/atom) = 0.3123

=====

Q: What is the formula in the first record?
A: Rb4Pu3SbTe8